No. 1
## SrAcTe2O8 (PBE)

Data for a relaxed structure of SrAcTe2O8.

abc: 6.5941 6.5941 6.5941
angles: 106.95 106.95 114.63
Closest atoms and distances in Å follow each position.
Atoms (fractional coordinates):
Sr (0.0000, 0.0000, 0.0000)  8 O 2.58-2.72
Ac (0.2500, 0.7500, 0.5000)  8 O 2.54-2.71
Te (0.7500, 0.2500, 0.5000)  4 O 1.87
Te (0.5000, 0.5000, 0.0000)  4 O 1.91
O (0.3968, 0.0757, 0.3210)  1 Te 1.87
O (0.3241, 0.5079, 0.1838)  1 Te 1.91
O (0.3241, 0.1404, 0.8162)  1 Te 1.91
O (0.7547, 0.0757, 0.6790)  1 Te 1.87
O (0.8596, 0.6759, 0.1838)  1 Te 1.91
O (0.9243, 0.2453, 0.3210)  1 Te 1.87
O (0.9243, 0.6032, 0.6790)  1 Te 1.87
O (0.4921, 0.6759, 0.8162)  1 Te 1.91

density	5.3	Mg/m³
ΔE_f (raw)	-41.99	kcal/mol of atoms

=====

No. 2
## SrAcTeO6 (PBE)

Data for a relaxed structure of SrAcTeO6.

abc: 6.1451 6.1451 9.0657
angles: 90.00 90.00 120.00
Closest atoms and distances in Å follow each position.
Atoms (fractional coordinates):
Sr (0.0000, 0.0000, 0.0000)  6 O 2.55
Sr (0.0000, 0.0000, 0.5000)  6 O 2.55
Ac (0.3333, 0.6667, 0.2500)  6 O 2.55
Ac (0.6667, 0.3333, 0.7500)  6 O 2.55
Te (0.6667, 0.3333, 0.2500)  6 O 1.95
Te (0.3333, 0.6667, 0.7500)  6 O 1.95
O (0.6739, 0.6033, 0.1322)  1 Te 1.95
O (0.9294, 0.3261, 0.1322)  1 Te 1.95
O (0.3261, 0.9294, 0.6322)  1 Te 1.95
O (0.0706, 0.6739, 0.8678)  1 Te 1.95
O (0.3967, 0.3261, 0.3678)  1 Te 1.95
O (0.9294, 0.6033, 0.3678)  1 Te 1.95
O (0.6033, 0.9294, 0.8678)  1 Te 1.95
O (0.6739, 0.0706, 0.3678)  1 Te 1.95
O (0.0706, 0.3967, 0.6322)  1 Te 1.95
O (0.3967, 0.0706, 0.1322)  1 Te 1.95
O (0.6033, 0.6739, 0.6322)  1 Te 1.95
O (0.3261, 0.3967, 0.8678)  1 Te 1.95

density	6.0	Mg/m³
ΔE_f (raw)	-46.68	kcal/mol of atoms

=====

No. 3
## SrAc2TiO6 (PBE)

Data for a relaxed structure of SrAc2TiO6.

abc: 5.3691 5.6995 5.6995
angles: 90.00 90.00 90.00
Closest atoms and distances in Å follow each position.
Atoms (fractional coordinates):
Sr (0.5551, 0.5000, 0.5000)  5 O 2.37-2.40
Ac (0.9961, 0.5000, 0.0000)  4 O 2.48
Ac (0.9961, 0.0000, 0.5000)  4 O 2.48
Ti (0.6025, 0.0000, 0.0000)  5 O 1.83-1.94
O (0.7304, 0.2256, 0.2256)  1 Ti 1.94
O (0.7304, 0.2256, 0.7744)  1 Ti 1.94
O (0.1143, 0.5000, 0.5000)  1 Sr 2.37
O (0.2610, 0.0000, 0.0000)  1 Ti 1.83
O (0.7304, 0.7744, 0.7744)  1 Ti 1.94
O (0.7304, 0.7744, 0.2256)  1 Ti 1.94

density	6.5	Mg/m³
ΔE_f (raw)	-71.84	kcal/mol of atoms

=====

No. 4
## SrAcTiO4 (PBE)

Data for a relaxed structure of SrAcTiO4.

abc: 3.9720 3.9720 7.0585
angles: 106.34 106.34 90.00
Closest atoms and distances in Å follow each position.
Atoms (fractional coordinates):
Sr (0.3583, 0.3583, 0.7165)  5 O 2.49-2.72
Ac (0.6440, 0.6440, 0.2881)  5 O 2.44-2.71
Ti (0.9957, 0.9957, 0.9914)  6 O 1.99-2.21
O (0.0017, 0.5017, 0.0033)  2 Ti 1.99
O (0.5017, 0.0017, 0.0033)  2 Ti 1.99
O (0.8325, 0.8325, 0.6650)  1 Ti 2.11
O (0.1662, 0.1662, 0.3323)  1 Ti 2.21

density	6.9	Mg/m³
ΔE_f (raw)	-70.49	kcal/mol of atoms

=====

No. 5
## Sr2AcTlO6 (PBE)

Data for a relaxed structure of Sr2AcTlO6.

abc: 6.1922 6.2459 8.9589
angles: 90.00 94.41 90.00
Closest atoms and distances in Å follow each position.
Atoms (fractional coordinates):
Sr (0.0284, 0.9509, 0.2377)  6 O 2.54-2.82
Sr (0.5284, 0.5491, 0.7377)  6 O 2.54-2.82
Sr (0.9716, 0.0491, 0.7623)  6 O 2.54-2.82
Sr (0.4716, 0.4509, 0.2623)  6 O 2.54-2.82
Ac (0.5000, 0.0000, 0.0000)  6 O 2.35-2.45
Ac (0.0000, 0.5000, 0.5000)  6 O 2.35-2.45
Tl (0.5000, 0.0000, 0.5000)  4 O 2.17-2.20
Tl (0.0000, 0.5000, 0.0000)  4 O 2.17-2.20
O (0.2738, 0.7050, 0.0781)  1 Tl 2.20, 1 Ac 2.45
O (0.7738, 0.7950, 0.5781)  1 Tl 2.20, 1 Ac 2.45
O (0.7262, 0.2950, 0.9219)  1 Tl 2.20, 1 Ac 2.45
O (0.2262, 0.2050, 0.4219)  1 Tl 2.20, 1 Ac 2.45
O (0.3066, 0.7184, 0.4416)  1 Tl 2.17, 1 Ac 2.43
O (0.8066, 0.7816, 0.9416)  1 Tl 2.17, 1 Ac 2.43
O (0.6934, 0.2816, 0.5584)  1 Tl 2.17, 1 Ac 2.43
O (0.1934, 0.2184, 0.0584)  1 Tl 2.17, 1 Ac 2.43
O (0.8658, 0.5675, 0.2525)  1 Ac 2.35, 1 Tl 2.50, 2 Sr 2.56-2.61
O (0.3658, 0.9325, 0.7525)  1 Ac 2.35, 1 Tl 2.50, 2 Sr 2.56-2.61
O (0.1342, 0.4325, 0.7475)  1 Ac 2.35, 1 Tl 2.50, 2 Sr 2.56-2.61
O (0.6342, 0.0675, 0.2475)  1 Ac 2.35, 1 Tl 2.50, 2 Sr 2.56-2.61

density	6.8	Mg/m³
ΔE_f (raw)	-45.46	kcal/mol of atoms

=====

No. 6
## SrAcTlO4 (PBE)

Data for a relaxed structure of SrAcTlO4.

abc: 6.3577 6.3577 7.6378
angles: 90.00 90.00 117.67
Closest atoms and distances in Å follow each position.
Atoms (fractional coordinates):
Sr (0.5000, 0.5000, 0.5000)  6 O 2.51-2.57
Sr (0.5000, 0.5000, 0.0000)  6 O 2.51-2.57
Ac (0.8369, 0.1631, 0.2500)  4 O 2.39-2.44
Ac (0.1631, 0.8369, 0.7500)  4 O 2.39-2.44
Tl (0.1537, 0.8463, 0.2500)  4 O 2.14-2.23
Tl (0.8463, 0.1537, 0.7500)  4 O 2.14-2.23
O (0.2306, 0.2472, 0.7500)  1 Tl 2.23, 1 Ac 2.44
O (0.7528, 0.7694, 0.7500)  1 Tl 2.23, 1 Ac 2.44
O (0.7298, 0.2702, 0.9765)  1 Tl 2.14, 1 Ac 2.39
O (0.7298, 0.2702, 0.5235)  1 Tl 2.14, 1 Ac 2.39
O (0.2702, 0.7298, 0.0235)  1 Tl 2.14, 1 Ac 2.39
O (0.2702, 0.7298, 0.4765)  1 Tl 2.14, 1 Ac 2.39
O (0.7694, 0.7528, 0.2500)  1 Tl 2.23, 1 Ac 2.44
O (0.2472, 0.2306, 0.2500)  1 Tl 2.23, 1 Ac 2.44

density	7.1	Mg/m³
ΔE_f (raw)	-49.20	kcal/mol of atoms

=====

No. 7
## SrAcU2O8 (PBE)

Data for a relaxed structure of SrAcU2O8.

abc: 5.6489 5.6489 6.7894
angles: 114.58 114.58 90.00
Closest atoms and distances in Å follow each position.
Atoms (fractional coordinates):
Sr (0.0000, 0.0000, 0.0000)  8 O 2.54-2.56
Ac (0.7500, 0.2500, 0.5000)  8 O 2.53-2.55
U (0.5000, 0.5000, 0.0000)  4 O 2.12
U (0.2500, 0.7500, 0.5000)  4 O 2.12
O (0.8292, 0.8268, 0.2168)  1 U 2.12
O (0.3876, 0.3899, 0.2168)  1 U 2.12
O (0.5755, 0.6354, 0.7161)  1 U 2.12
O (0.1406, 0.0808, 0.7161)  1 U 2.12
O (0.9192, 0.4245, 0.2839)  1 U 2.12
O (0.3646, 0.8594, 0.2839)  1 U 2.12
O (0.1732, 0.6124, 0.7832)  1 U 2.12
O (0.6101, 0.1708, 0.7832)  1 U 2.12

density	8.7	Mg/m³
ΔE_f (raw)	-74.16	kcal/mol of atoms

=====

No. 8
## Sr2AcUO6 (PBE)

Data for a relaxed structure of Sr2AcUO6.

abc: 6.1239 6.3486 8.8372
angles: 90.00 90.11 90.00
Closest atoms and distances in Å follow each position.
Atoms (fractional coordinates):
Sr (0.0129, 0.9536, 0.2557)  4 O 2.51-2.62
Sr (0.5129, 0.5464, 0.7557)  4 O 2.51-2.62
Sr (0.9871, 0.0464, 0.7443)  4 O 2.51-2.62
Sr (0.4871, 0.4536, 0.2443)  4 O 2.51-2.62
Ac (0.5000, 0.0000, 0.0000)  6 O 2.47-2.53
Ac (0.0000, 0.5000, 0.5000)  6 O 2.47-2.53
U (0.5000, 0.0000, 0.5000)  6 O 2.15-2.19
U (0.0000, 0.5000, 0.0000)  6 O 2.15-2.19
O (0.2880, 0.6781, 0.0544)  1 U 2.15
O (0.7880, 0.8219, 0.5544)  1 U 2.15
O (0.7120, 0.3219, 0.9456)  1 U 2.15
O (0.2120, 0.1781, 0.4456)  1 U 2.15
O (0.3235, 0.7182, 0.4251)  1 U 2.19
O (0.8235, 0.7818, 0.9251)  1 U 2.19
O (0.6765, 0.2818, 0.5749)  1 U 2.19
O (0.1765, 0.2182, 0.0749)  1 U 2.19
O (0.8806, 0.5623, 0.2294)  1 U 2.19
O (0.3806, 0.9377, 0.7294)  1 U 2.19
O (0.1194, 0.4377, 0.7706)  1 U 2.19
O (0.6194, 0.0623, 0.2706)  1 U 2.19

density	7.1	Mg/m³
ΔE_f (raw)	-73.57	kcal/mol of atoms